Entry 1:
An optimized crystal structure of Ta2AgHg, computed with GGA-PBE.

Structure (POSCAR):
```
Ta2AgHg
1.0
2.865 0.000 0.000
0.000 2.865 0.000
0.000 0.000 9.146
Ta Ag Hg
2 1 1
direct
0.500 0.500 0.252
0.000 0.000 0.006
0.000 0.000 0.493
0.500 0.500 0.749
```

Computed properties:
As for the energy: -6.51 eV/atom. The calculation puts the density of states at the Fermi level at 0.67 states/eV per atom. Its space group is No. 99. Its formation energy from the elements is 208 meV/atom. As for the calculated volume: 18.8 A^3/atom. Its spin magnetization is 0.00 μB per cell.

***

Entry 2:
An optimized crystal structure of MgTePd, computed with GGA-PBE.

Structure (POSCAR):
```
MgTePd
1.0
-5.481 2.811 -2.519
-3.115 -0.693 3.393
-0.032 4.160 2.099
Te Pd Mg
2 2 2
direct
0.004 0.707 0.873
0.610 0.347 0.513
0.274 0.566 0.263
0.340 0.957 0.653
0.563 0.971 0.092
0.051 0.127 0.248
```

Computed properties:
The raw formation energy is -0.56 eV per atom. As for the energy: -3.87 eV/atom. The calculation puts the density of states at the Fermi level at 0.24 states/eV per atom. Its space group is No. 5. As for the calculated volume: 22.7 A^3/atom. Its spin magnetization is 0.00 μB per cell.

***

Entry 3:
An optimized crystal structure of Ac4TePd3, computed with GGA-PBE.

Structure (POSCAR):
```
Ac4TePd3
1.0
-0.291 2.685 3.638
-0.036 -4.503 0.499
14.781 0.011 1.173
Ac Pd Te
4 3 1
direct
0.333 0.667 0.386
0.667 0.333 0.614
0.333 0.667 0.845
0.667 0.333 0.155
0.000 0.000 0.726
0.000 0.000 0.274
0.000 0.000 0.500
0.000 0.000 0.000
```

Computed properties:
The raw formation energy is -0.93 eV per atom. As for the energy: -5.32 eV/atom. The calculation puts the density of states at the Fermi level at 0.60 states/eV per atom. Its space group is No. 164. As for the calculated volume: 33.0 A^3/atom. Its spin magnetization is 0.00 μB per cell.

***

Entry 4:
An optimized crystal structure of CaLa2In, computed with GGA-PBE.

Structure (POSCAR):
```
CaLa2In
1.0
-4.379 -1.200 3.845
-2.296 -0.577 -2.794
0.970 -6.107 -0.802
La In Ca
2 1 1
direct
0.000 0.545 0.537
0.000 0.955 0.963
0.500 0.750 0.750
0.500 0.250 0.250
```

Computed properties:
As for the energy: -3.82 eV/atom. The calculation puts the density of states at the Fermi level at 1.01 states/eV per atom. Its space group is No. 10. Its formation energy from the elements is -167 meV/atom. As for the relative energy among the computed polymorphs: 7.8 kJ per mole of atoms. As for the calculated volume: 33.6 A^3/atom. Its spin magnetization is 0.00 μB per cell.

***

Entry 5:
An optimized crystal structure of CoRu2Au, computed with GGA-PBE.

Structure (POSCAR):
```
CoRu2Au
1.0
-0.624 -2.593 -0.678
1.392 0.566 -3.448
5.002 -1.660 1.746
Ru Au Co
2 1 1
direct
0.000 0.000 0.005
0.500 0.500 0.216
0.000 0.000 0.511
0.500 0.500 0.768
```

Computed properties:
As for the energy: -6.97 eV/atom. The calculation puts the density of states at the Fermi level at 1.38 states/eV per atom. Its space group is No. 25. Its formation energy from the elements is 268 meV/atom. As for the relative energy among the computed polymorphs: 1.8 kJ per mole of atoms. As for the calculated volume: 14.4 A^3/atom. Its spin magnetization is 1.98 μB per cell.

***

Entry 6:
An optimized crystal structure of Tb2NdAlO, computed with GGA-PBE.

Structure (POSCAR):
```
Tb2NdAlO
1.0
-0.581 2.786 -4.045
-2.708 -3.386 -1.944
-3.864 1.986 1.923
Tb Nd O Al
2 1 1 1
direct
0.000 0.500 0.000
0.000 0.000 0.500
0.500 0.000 0.000
0.000 0.000 0.000
0.500 0.500 0.500
```

Computed properties:
The raw formation energy is -1.35 eV per atom. As for the energy: -5.90 eV/atom. The calculation puts the density of states at the Fermi level at 0.32 states/eV per atom. Its space group is No. 123. As for the calculated volume: 22.3 A^3/atom. Its spin magnetization is 0.00 μB per cell.

***

Entry 7:
An optimized crystal structure of ScAlInBi2, computed with GGA-PBE.

Structure (POSCAR):
```
ScAlInBi2
1.0
5.584 0.000 0.000
0.000 5.625 0.000
0.000 0.000 5.584
Bi In Al Sc
2 1 1 1
direct
0.000 0.000 0.500
0.500 0.000 0.000
0.000 0.500 0.000
0.500 0.500 0.500
0.000 0.000 0.000
```

Computed properties:
As for the energy: -3.74 eV/atom. The calculation puts the density of states at the Fermi level at 0.81 states/eV per atom. Its space group is No. 123. Its formation energy from the elements is 379 meV/atom. As for the calculated volume: 35.1 A^3/atom. Its spin magnetization is 0.00 μB per cell.

***

Entry 8:
An optimized crystal structure of SrLaF2, computed with GGA-PBE.

Structure (POSCAR):
```
SrLaF2
1.0
0.000 3.452 3.452
3.452 0.000 3.452
3.452 3.452 0.000
La F Sr
1 2 1
direct
0.500 0.500 0.500
0.750 0.750 0.750
0.250 0.250 0.250
0.000 0.000 0.000
```

Computed properties:
The raw formation energy is -1.77 eV per atom. As for the energy: -4.36 eV/atom. The calculation puts the density of states at the Fermi level at 0.83 states/eV per atom. Its space group is No. 225. As for the relative energy among the computed polymorphs: 94.5 kJ per mole of atoms. As for the calculated volume: 20.6 A^3/atom. Its spin magnetization is 2.38 μB per cell.